(1)
A plane-wave DFT calculation with PBE was carried out for CeBeRh2 after structural relaxation.

abc: 4.194 4.194 3.634
angles: 90.00 90.00 90.00
Fractional coordinates of all 4 atoms:
Ce1 0.000 0.000 0.000
Be1 0.500 0.500 0.000
Rh1 0.000 0.500 0.500
Rh2 0.500 0.000 0.500

## Properties
Symmetry   P4/mmm
Calculated formation energy   -0.54 eV per atom
Mass density   9.22 Mg/m³

---

(2)
A plane-wave DFT calculation with PBE was carried out for CeBe17Rh after structural relaxation.

abc: 5.699 5.699 5.699
angles: 83.34 83.34 83.34
Fractional coordinates of all 19 atoms:
Ce1 0.000 0.000 0.000
Be1 0.002 0.002 0.494
Be2 0.002 0.494 0.002
Be3 0.145 0.662 0.662
Be4 0.316 0.316 0.780
Be5 0.316 0.780 0.316
Be6 0.367 0.644 0.947
Be7 0.367 0.947 0.644
Be8 0.494 0.002 0.002
Be9 0.555 0.555 0.555
Be10 0.644 0.367 0.947
Be11 0.644 0.947 0.367
Be12 0.662 0.145 0.662
Be13 0.662 0.662 0.145
Be14 0.749 0.749 0.749
Be15 0.780 0.316 0.316
Be16 0.947 0.367 0.644
Be17 0.947 0.644 0.367
Rh1 0.332 0.332 0.332

## Properties
Symmetry   R3m
Calculated formation energy   -0.06 eV per atom
Mass density   3.62 Mg/m³

---

(3)
A plane-wave DFT calculation with PBE was carried out for CeBeRh2 after structural relaxation.

abc: 5.572 5.572 5.572
angles: 40.61 40.61 40.61
Fractional coordinates of all 4 atoms:
Ce1 0.000 0.000 0.000
Be1 0.500 0.500 0.500
Rh1 0.220 0.220 0.220
Rh2 0.780 0.780 0.780

## Properties
Symmetry   R-3m
Calculated formation energy   -0.60 eV per atom
Mass density   8.91 Mg/m³

---

(4)
A plane-wave DFT calculation with PBE was carried out for CeBeRh2 after structural relaxation.

abc: 8.527 8.527 3.990
angles: 90.00 90.00 152.41
Fractional coordinates of all 8 atoms:
Ce1 0.138 0.862 0.000
Ce2 0.862 0.138 0.000
Be1 0.433 0.567 0.500
Be2 0.567 0.433 0.500
Rh1 0.000 0.000 0.500
Rh2 0.301 0.699 0.500
Rh3 0.500 0.500 0.000
Rh4 0.699 0.301 0.500

## Properties
Symmetry   Cmmm
Calculated formation energy   -0.64 eV per atom
Mass density   8.77 Mg/m³